AlFeIO2 | PBE with a Hubbard U | relaxed

The structure in extended XYZ format:
```
5
Lattice="3.771 0.000 0.000 0.000 3.771 0.000 0.000 0.000 5.762" Properties=species:S:1:pos:R:3 pbc="T T T"
Al 0.000 0.000 0.000
Fe 1.886 1.886 2.881
I 0.000 0.000 2.881
O 0.000 1.886 0.000
O 1.886 0.000 0.000
```

Computed properties:
excess energy over the best structure of this formula in the dataset	0.000	eV per atom
M_tot	4.3	μB/cell
SG	No. 123
energy	-0.364	Ry/atom